VASP calculation (PBE) on a relaxed structure of Sc2CdGa.

Cell lengths 4.9048, 4.9048, 4.9048 Å; angles 60.00, 60.00, 60.00 degrees
With the nearest neighbours (Å) after each atom.
Fractional coordinates of all 4 atoms:
Cd 0.2500 0.2500 0.2500  4 Ga 3.00, 4 Sc 3.00
Sc 0.7500 0.7500 0.7500  4 Sc 3.00, 4 Ga 3.00
Sc 0.0000 0.0000 0.0000  4 Sc 3.00, 4 Cd 3.00
Ga 0.5000 0.5000 0.5000  4 Cd 3.00, 4 Sc 3.00

calculated total energy = -4.16 eV/atom
total magnetization = 0.53 μB/atom
space-group type = F-43m, No. 216


VASP calculation (PBE) on a relaxed structure of Y3Al3CuIr2.

Cell lengths 6.9856, 6.9856, 4.0764 Å; angles 90.00, 90.00, 120.00 degrees
With the nearest neighbours (Å) after each atom.
Fractional coordinates of all 9 atoms:
Al 0.2412 0.0000 0.5000  2 Cu 2.64, 2 Ir 2.71, 2 Al 2.92
Al 0.0000 0.2412 0.5000  2 Cu 2.64, 2 Ir 2.71, 2 Al 2.92
Al 0.7588 0.7588 0.5000  2 Cu 2.64, 2 Ir 2.71, 2 Al 2.92
Ir 0.6667 0.3333 0.5000  3 Al 2.71, 6 Y 2.93
Ir 0.3333 0.6667 0.5000  3 Al 2.71, 6 Y 2.93
Cu 0.0000 0.0000 0.0000  6 Al 2.64, 3 Y 2.90
Y 0.0000 0.5849 0.0000  1 Cu 2.90, 4 Ir 2.93, 6 Al 3.15-3.24
Y 0.4151 0.4151 0.0000  1 Cu 2.90, 4 Ir 2.93, 6 Al 3.15-3.24
Y 0.5849 0.0000 0.0000  1 Cu 2.90, 4 Ir 2.93, 6 Al 3.15-3.24

calculated total energy = -6.52 eV/atom
total magnetization = 0.00 μB/atom
space-group type = P-62m, No. 189


VASP calculation (PBE) on a relaxed structure of HoZn4Ir.

Cell lengths 5.0872, 5.0872, 5.0872 Å; angles 60.00, 60.00, 60.00 degrees
With the nearest neighbours (Å) after each atom.
Fractional coordinates of all 6 atoms:
Ir 0.7500 0.7500 0.7500  12 Zn 2.98, 4 Ho 3.12
Zn 0.3760 0.8720 0.3760  6 Zn 2.52-2.56
Zn 0.3760 0.3760 0.8720  6 Zn 2.52-2.56
Zn 0.3760 0.3760 0.3760  6 Zn 2.52-2.56
Zn 0.8720 0.3760 0.3760  6 Zn 2.52-2.56
Ho 0.0000 0.0000 0.0000  12 Zn 2.98, 4 Ir 3.12

DFT formation energy = -2.61 eV/f.u.
total magnetization = 0.00 μB/atom
space-group type = F-43m, No. 216


VASP calculation (PBE) on a relaxed structure of InSi5Ir3.

Cell lengths 5.4628, 5.4628, 6.0231 Å; angles 90.00, 90.00, 120.00 degrees
With the nearest neighbours (Å) after each atom.
Fractional coordinates of all 9 atoms:
Ir 0.5000 0.0000 0.5000  6 Si 2.44-2.73, 4 Ir 2.73
Ir 0.0000 0.5000 0.5000  6 Si 2.44-2.73, 4 Ir 2.73
Ir 0.5000 0.5000 0.5000  6 Si 2.44-2.73, 4 Ir 2.73
Si 0.3333 0.6667 0.8090  1 Si 2.30, 3 Ir 2.44
Si 0.6667 0.3333 0.1910  1 Si 2.30, 3 Ir 2.44
Si 0.3333 0.6667 0.1910  1 Si 2.30, 3 Ir 2.44
Si 0.0000 0.0000 0.5000  6 Ir 2.73, 2 In 3.01
Si 0.6667 0.3333 0.8090  1 Si 2.30, 3 Ir 2.44
In 0.0000 0.0000 0.0000  14 Si 3.01-3.36

calculated total energy = -6.33 eV/atom
total magnetization = 0.00 μB/atom
space-group type = P6/mmm, No. 191


VASP calculation (PBE) on a relaxed structure of ErCoSn.

Cell lengths 7.1723, 4.5327, 7.3419 Å; angles 90.00, 90.00, 90.00 degrees
With the nearest neighbours (Å) after each atom.
Fractional coordinates of all 12 atoms:
Co 0.3450 0.7500 0.0605  4 Sn 2.60-2.64, 1 Er 2.89
Co 0.8450 0.7500 0.4395  4 Sn 2.60-2.64, 1 Er 2.89
Co 0.6550 0.2500 0.9395  4 Sn 2.60-2.64, 1 Er 2.89
Co 0.1550 0.2500 0.5605  4 Sn 2.60-2.64, 1 Er 2.89
Sn 0.2074 0.7500 0.3941  4 Co 2.60-2.64
Sn 0.2926 0.2500 0.8941  4 Co 2.60-2.64
Sn 0.7074 0.7500 0.1059  4 Co 2.60-2.64
Sn 0.7926 0.2500 0.6059  4 Co 2.60-2.64
Er 0.9813 0.2500 0.2046  4 Co 2.89-3.04, 5 Sn 3.09-3.19
Er 0.4813 0.2500 0.2954  4 Co 2.89-3.04, 5 Sn 3.09-3.19
Er 0.5187 0.7500 0.7046  4 Co 2.89-3.04, 5 Sn 3.09-3.19
Er 0.0187 0.7500 0.7954  4 Co 2.89-3.04, 5 Sn 3.09-3.19

calculated total energy = -5.72 eV/atom
total magnetization = 0.05 μB/atom
space-group type = Pnma, No. 62


VASP calculation (PBE) on a relaxed structure of Dy3Al2GaGe2Pd.

Cell lengths 4.2655, 6.9578, 6.9578 Å; angles 119.16, 90.00, 90.00 degrees
With the nearest neighbours (Å) after each atom.
Fractional coordinates of all 9 atoms:
Al 0.0000 0.7655 0.9979  2 Pd 2.66, 2 Ge 2.71-2.74, 1 Al 2.79, 1 Ga 2.85
Al 0.0000 0.9979 0.7655  2 Pd 2.66, 2 Ge 2.71-2.74, 1 Al 2.79, 1 Ga 2.85
Dy 0.5000 0.0046 0.4152  1 Pd 2.91, 4 Ge 2.99-3.00
Dy 0.5000 0.4152 0.0046  1 Pd 2.91, 4 Ge 2.99-3.00
Dy 0.5000 0.5841 0.5841  1 Pd 2.87, 4 Ge 3.00
Ge 0.0000 0.3338 0.6731  2 Al 2.71-2.74, 1 Ga 2.78, 6 Dy 2.99-3.00
Ge 0.0000 0.6731 0.3338  2 Al 2.71-2.74, 1 Ga 2.78, 6 Dy 2.99-3.00
Pd 0.5000 0.9912 0.9912  4 Al 2.66, 2 Ga 2.74, 3 Dy 2.87-2.91
Ga 0.0000 0.2346 0.2346  2 Pd 2.74, 2 Ge 2.78, 2 Al 2.85

calculated total energy = -5.12 eV/atom
total magnetization = 0.00 μB/atom
space-group type = Amm2, No. 38


VASP calculation (PBE) on a relaxed structure of TmPaPO.

Cell lengths 4.1771, 4.1771, 8.8962 Å; angles 90.00, 90.00, 90.00 degrees
With the nearest neighbours (Å) after each atom.
Fractional coordinates of all 8 atoms:
P 0.2500 0.2500 0.7205  4 Pa 2.87
P 0.7500 0.7500 0.2795  4 Pa 2.87
Pa 0.2500 0.7500 0.5000  4 P 2.87, 4 Pa 2.95
Pa 0.7500 0.2500 0.5000  4 P 2.87, 4 Pa 2.95
Tm 0.7500 0.7500 0.8997  4 O 2.27
Tm 0.2500 0.2500 0.1003  4 O 2.27
O 0.2500 0.7500 0.0000  4 Tm 2.27
O 0.7500 0.2500 0.0000  4 Tm 2.27

calculated total energy = -7.37 eV/atom
total magnetization = 0.01 μB/atom
space-group type = P4/nmm, No. 129


VASP calculation (PBE) on a relaxed structure of InCoOsPt.

Cell lengths 4.4251, 4.4251, 4.4251 Å; angles 60.00, 60.00, 60.00 degrees
With the nearest neighbours (Å) after each atom.
Fractional coordinates of all 4 atoms:
Pt 0.5000 0.5000 0.5000  4 Os 2.71, 4 Co 2.71
Co 0.7500 0.7500 0.7500  4 Pt 2.71, 4 In 2.71
Os 0.2500 0.2500 0.2500  4 Pt 2.71, 4 In 2.71
In 0.0000 0.0000 0.0000  4 Os 2.71, 4 Co 2.71

calculated total energy = -6.40 eV/atom
total magnetization = 0.45 μB/atom
space-group type = F-43m, No. 216